## Tb2YErTh (PBE)

Data for a relaxed Tb2YErTh crystal.

The value obtained for the density of states at the Fermi level is 36.3 states/eV per cell. The volume comes out at 34.9 Å³ per atom. For the formation energy, the calculation gives 464.2 meV per atom. Its crystal system is orthorhombic.

The structure belongs to space group Cmcm (No. 63); the cell edges are 8.562, 11.845 and 6.888 Å and the angles 90.00°, 90.00° and 90.00°. Symmetry generates all atoms from Tb at (0.183, 0.000, 0.000), Y at (0.000, 0.231, 0.250), Er at (0.000, 0.223, 0.750) and Th at (0.000, 0.495, 0.750).